No. 1
Here is crystalline Hf2Be2W at its relaxed geometry from Alexandria. Energies are from PBE.

Geometry as CIF:
```
data_Hf2Be2W
_cell_length_a 6.500
_cell_length_b 6.500
_cell_length_c 3.617
_cell_angle_alpha 90.00
_cell_angle_beta 90.00
_cell_angle_gamma 90.00
_space_group_name_H-M_alt 'P 1'
_space_group_IT_number 1
loop_
_space_group_symop_operation_xyz
'x,y,z'
loop_
_atom_site_label
_atom_site_type_symbol
_atom_site_fract_x
_atom_site_fract_y
_atom_site_fract_z
W1 W 0.000 0.000 0.000
W2 W 0.500 0.500 0.000
Be1 Be 0.616 0.116 0.000
Be2 Be 0.384 0.884 0.000
Be3 Be 0.884 0.616 0.000
Be4 Be 0.116 0.384 0.000
Hf1 Hf 0.316 0.184 0.500
Hf2 Hf 0.184 0.684 0.500
Hf3 Hf 0.816 0.316 0.500
Hf4 Hf 0.684 0.816 0.500
```

## Properties
- formation enthalpy at 0 K (meV/atom) = -54
- space-group type = No. 127


No. 2
Here is crystalline Sn2Ru2Se at its relaxed geometry from Alexandria. Energies are from PBE.

Geometry as CIF:
```
data_Sn2Ru2Se
_cell_length_a 7.807
_cell_length_b 7.807
_cell_length_c 3.167
_cell_angle_alpha 90.00
_cell_angle_beta 90.00
_cell_angle_gamma 90.00
_space_group_name_H-M_alt 'P 1'
_space_group_IT_number 1
loop_
_space_group_symop_operation_xyz
'x,y,z'
loop_
_atom_site_label
_atom_site_type_symbol
_atom_site_fract_x
_atom_site_fract_y
_atom_site_fract_z
Sn1 Sn 0.646 0.854 0.500
Sn2 Sn 0.146 0.646 0.500
Sn3 Sn 0.354 0.146 0.500
Sn4 Sn 0.854 0.354 0.500
Ru1 Ru 0.151 0.349 0.000
Ru2 Ru 0.849 0.651 0.000
Ru3 Ru 0.651 0.151 0.000
Ru4 Ru 0.349 0.849 0.000
Se1 Se 0.000 0.000 0.000
Se2 Se 0.500 0.500 0.000
```

## Properties
- space-group type = No. 127
- formation energy (no corrections) (eV/atom) = 0.066


No. 3
Here is crystalline YTlP3 at its relaxed geometry from Alexandria. Energies are from PBE.

Geometry as CIF:
```
data_YTlP3
_cell_length_a 5.026
_cell_length_b 5.026
_cell_length_c 5.026
_cell_angle_alpha 90.00
_cell_angle_beta 90.00
_cell_angle_gamma 90.00
_space_group_name_H-M_alt 'P 1'
_space_group_IT_number 1
loop_
_space_group_symop_operation_xyz
'x,y,z'
loop_
_atom_site_label
_atom_site_type_symbol
_atom_site_fract_x
_atom_site_fract_y
_atom_site_fract_z
P1 P 0.500 0.000 0.000
P2 P 0.000 0.000 0.500
P3 P 0.000 0.500 0.000
Tl1 Tl 0.000 0.000 0.000
Y1 Y 0.500 0.500 0.500
```

## Properties
- formation enthalpy at 0 K (meV/atom) = 702
- space-group type = No. 221
- offset from the most stable computed form (eV per formula unit) = 1.42


No. 4
Here is crystalline ThSnHgPd at its relaxed geometry from Alexandria. Energies are from PBE.

Geometry as CIF:
```
data_ThSnHgPd
_cell_length_a 5.101
_cell_length_b 5.101
_cell_length_c 5.101
_cell_angle_alpha 60.00
_cell_angle_beta 60.00
_cell_angle_gamma 60.00
_space_group_name_H-M_alt 'P 1'
_space_group_IT_number 1
loop_
_space_group_symop_operation_xyz
'x,y,z'
loop_
_atom_site_label
_atom_site_type_symbol
_atom_site_fract_x
_atom_site_fract_y
_atom_site_fract_z
Sn1 Sn 0.250 0.250 0.250
Hg1 Hg 0.000 0.000 0.000
Th1 Th 0.750 0.750 0.750
Pd1 Pd 0.500 0.500 0.500
```

## Properties
- formation enthalpy at 0 K (meV/atom) = -496
- space-group type = No. 216


No. 5
Here is crystalline Mn3CdBr9 at its relaxed geometry from Alexandria. Energies are from PBE.

Geometry as CIF:
```
data_Mn3CdBr9
_cell_length_a 9.520
_cell_length_b 10.640
_cell_length_c 11.462
_cell_angle_alpha 73.54
_cell_angle_beta 65.46
_cell_angle_gamma 63.42
_space_group_name_H-M_alt 'P 1'
_space_group_IT_number 1
loop_
_space_group_symop_operation_xyz
'x,y,z'
loop_
_atom_site_label
_atom_site_type_symbol
_atom_site_fract_x
_atom_site_fract_y
_atom_site_fract_z
Br1 Br 0.762 0.995 0.751
Br2 Br 0.373 0.825 0.431
Br3 Br 0.727 0.740 0.067
Br4 Br 0.334 0.200 0.315
Br5 Br 0.371 0.325 0.931
Br6 Br 0.081 0.587 0.519
Br7 Br 0.151 0.700 0.815
Br8 Br 0.757 0.393 0.590
Br9 Br 0.260 0.893 0.090
Br10 Br 0.898 0.426 0.865
Br11 Br 0.171 0.071 0.716
Br12 Br 0.042 0.571 0.216
Br13 Br 0.812 0.926 0.365
Br14 Br 0.813 0.087 0.019
Br15 Br 0.467 0.240 0.567
Br16 Br 0.493 0.495 0.251
Br17 Br 0.950 0.276 0.196
Br18 Br 0.578 0.776 0.696
Cd1 Cd 0.029 0.494 0.002
Cd2 Cd 0.475 0.994 0.502
Mn1 Mn 0.817 0.552 0.673
Mn2 Mn 0.958 0.052 0.173
Mn3 Mn 0.575 0.252 0.720
Mn4 Mn 0.453 0.752 0.220
Mn5 Mn 0.983 0.948 0.833
Mn6 Mn 0.236 0.448 0.333
```

## Properties
- space-group type = No. 9
- formation energy (no corrections) (eV/atom) = -0.676


No. 6
Here is crystalline NdZr2MnN4 at its relaxed geometry from Alexandria. Energies are from PBE.

Geometry as CIF:
```
data_NdZr2MnN4
_cell_length_a 3.281
_cell_length_b 5.824
_cell_length_c 11.096
_cell_angle_alpha 90.00
_cell_angle_beta 90.00
_cell_angle_gamma 106.36
_space_group_name_H-M_alt 'P 1'
_space_group_IT_number 1
loop_
_space_group_symop_operation_xyz
'x,y,z'
loop_
_atom_site_label
_atom_site_type_symbol
_atom_site_fract_x
_atom_site_fract_y
_atom_site_fract_z
Mn1 Mn 0.840 0.680 0.750
Mn2 Mn 0.160 0.320 0.250
N1 N 0.000 0.000 0.500
N2 N 0.000 0.000 0.000
N3 N 0.267 0.533 0.119
N4 N 0.733 0.467 0.881
N5 N 0.427 0.854 0.750
N6 N 0.733 0.467 0.619
N7 N 0.573 0.146 0.250
N8 N 0.267 0.533 0.381
Zr1 Zr 0.632 0.264 0.047
Zr2 Zr 0.368 0.736 0.547
Zr3 Zr 0.368 0.736 0.953
Zr4 Zr 0.632 0.264 0.453
Nd1 Nd 0.898 0.795 0.250
Nd2 Nd 0.102 0.205 0.750
```

## Properties
- space-group type = No. 63
- formation energy (no corrections) (eV/atom) = -1.271


For the records above, the corresponding DOS(E_F) values read 11.648; 5.484; 4.171; 1.574; 12.475; 6.898 states/eV per cell.